Entry from OQMD via LeMat-Bulk: crystalline NdSmNi8B2 at its relaxed geometry (PBE).

Results
Relative energy among the computed polymorphs ... 13 meV per atom

Structure (extended XYZ):
```
12
Lattice="2.523 -4.371 0.000 2.523 4.371 0.000 0.000 0.000 7.003" Properties=species:S:1:pos:R:3 pbc="T T T"
B 2.523 -1.457 0.000
B 2.523 1.457 0.000
Ni 2.523 -1.457 3.502
Ni 2.523 0.000 5.555
Ni 1.262 -2.186 1.449
Ni 2.523 0.000 1.449
Ni 1.262 -2.186 5.554
Ni 1.262 2.186 5.554
Ni 1.262 2.186 1.449
Ni 2.523 1.457 3.502
Nd 0.000 0.000 0.000
Sm 0.000 0.000 3.502
```